The following is a DFT calculation (PBE with a Hubbard U) of an optimized crystal structure of Fe3OF5.

Geometry as POSCAR:
```
Fe3OF5
1.0
3.329 -3.454 0.000
3.329 3.454 0.000
-0.012 0.000 9.657
Fe O F
6 2 10
direct
0.000 0.000 0.000
0.006 0.006 0.676
0.470 0.470 0.838
0.500 0.500 0.500
0.530 0.530 0.162
0.994 0.994 0.324
0.184 0.184 0.849
0.816 0.816 0.151
0.196 0.196 0.497
0.219 0.219 0.155
0.298 0.687 0.673
0.300 0.700 0.000
0.313 0.702 0.327
0.687 0.298 0.673
0.700 0.300 0.000
0.702 0.313 0.327
0.781 0.781 0.845
0.804 0.804 0.503
```

Output
E = -5.68 eV per atom